1.
! Na4Th3MnTe8 | the Alexandria database | PBE | relaxed; values from VASP
! * formation energy (no corrections): -966 meV/atom
! * density of states at the Fermi level: 8.2 states/eV/cell
&SYSTEM
  ibrav = 0, nat = 16, ntyp = 4
/
ATOMIC_SPECIES
Na 22.99 Na.upf
Th 232.04 Th.upf
Mn 54.94 Mn.upf
Te 127.60 Te.upf
CELL_PARAMETERS angstrom
4.3990 2.5398 7.6843
-4.3990 2.5398 7.6843
0.0000 -5.0796 7.6843
ATOMIC_POSITIONS angstrom
Na 0.0000 0.0000 0.0000
Na -2.1995 -1.2699 7.6843
Na -2.1995 1.2699 15.3686
Na 0.0000 2.5398 7.6843
Th -4.3990 0.0000 11.5265
Th -2.1995 1.2699 3.8422
Th 2.1995 1.2699 3.8422
Mn 0.0000 0.0000 11.5265
Te 0.0000 0.0000 5.7529
Te -2.0940 -1.2090 13.3105
Te 0.0000 -2.4180 9.7424
Te -2.0940 1.2090 9.7424
Te 2.0940 -1.2090 13.3105
Te 0.0000 2.4180 13.3105
Te 2.0941 1.2090 9.7424
Te 0.0000 0.0000 17.3000


2.
! Na4Ti3MnTe8 | the Alexandria database | PBE | relaxed; values from VASP
! * formation energy (no corrections): -706 meV/atom
! * density of states at the Fermi level: 7.4 states/eV/cell
&SYSTEM
  ibrav = 0, nat = 16, ntyp = 4
/
ATOMIC_SPECIES
Na 22.99 Na.upf
Ti 47.87 Ti.upf
Mn 54.94 Mn.upf
Te 127.60 Te.upf
CELL_PARAMETERS angstrom
4.0813 2.3563 7.5613
-4.0813 2.3563 7.5613
0.0000 -4.7126 7.5613
ATOMIC_POSITIONS angstrom
Na 0.0000 0.0000 0.0000
Na -2.0406 -1.1782 7.5613
Na -2.0406 1.1782 15.1226
Na 0.0000 2.3563 7.5613
Ti -4.0812 0.0000 11.3420
Ti -2.0406 1.1782 3.7806
Ti 2.0406 1.1782 3.7807
Mn 0.0000 0.0000 11.3420
Te -2.0453 -1.1808 12.9217
Te 0.0000 0.0000 5.3909
Te 0.0000 -2.3617 9.7622
Te -2.0453 1.1808 9.7622
Te 2.0453 -1.1808 12.9217
Te 0.0000 2.3617 12.9217
Te 0.0000 0.0000 17.2930
Te 2.0453 1.1808 9.7622


3.
! Na3Ti3MnTe8 | the Alexandria database | PBE | relaxed; values from VASP
! * formation energy (no corrections): -684 meV/atom
! * density of states at the Fermi level: 5.2 states/eV/cell
&SYSTEM
  ibrav = 0, nat = 15, ntyp = 4
/
ATOMIC_SPECIES
Na 22.99 Na.upf
Ti 47.87 Ti.upf
Mn 54.94 Mn.upf
Te 127.60 Te.upf
CELL_PARAMETERS angstrom
3.9888 2.3029 7.7376
-3.9888 2.3029 7.7376
0.0000 -4.6059 7.7376
ATOMIC_POSITIONS angstrom
Na -1.9944 -1.1515 7.7376
Na -1.9944 1.1515 15.4751
Na 0.0000 2.3029 7.7375
Ti -3.9888 0.0000 11.6063
Ti -1.9944 1.1515 3.8688
Ti 1.9944 1.1515 3.8688
Mn 0.0000 0.0000 11.6063
Te -1.9952 -1.1519 13.2072
Te 0.0000 0.0000 5.5134
Te 0.0000 -2.3039 10.0055
Te -1.9952 1.1519 10.0055
Te 1.9952 -1.1519 13.2072
Te 0.0000 2.3039 13.2072
Te 0.0000 0.0000 17.6993
Te 1.9952 1.1519 10.0055


4.
! Na3TiMn2Te6 | the Alexandria database | PBE | relaxed; values from VASP
! * formation energy (no corrections): -568 meV/atom
! * density of states at the Fermi level: 5.2 states/eV/cell
&SYSTEM
  ibrav = 0, nat = 12, ntyp = 4
/
ATOMIC_SPECIES
Na 22.99 Na.upf
Ti 47.87 Ti.upf
Mn 54.94 Mn.upf
Te 127.60 Te.upf
CELL_PARAMETERS angstrom
3.5566 -6.1672 0.0000
3.5566 6.1672 0.0000
-2.3734 0.0000 7.5027
ATOMIC_POSITIONS angstrom
Na 0.0000 0.0000 0.0000
Na 3.5566 2.0705 0.0000
Na 3.5566 -2.0705 0.0000
Ti 2.3699 0.0000 3.7514
Mn 2.3699 4.1142 3.7514
Mn 2.3699 -4.1142 3.7514
Te 1.1878 2.0437 2.2068
Te 0.0146 0.0000 5.3003
Te 1.1878 -2.0437 2.2068
Te 3.5520 2.0437 5.2959
Te 4.7251 0.0000 2.2025
Te 3.5520 -2.0437 5.2959


no.,E (eV per cell)
1,-77.3
2,-74.6
3,-72.2
4,-55.9